No. 1
First-principles (GGA-PBE) data for a geometry-optimized Ce8C3O4 structure, as listed in the Alexandria database.

Lattice parameters (Å, degrees): 7.128 7.128 7.528 61.74 61.74 60.00
Each line ends with the local moment (μB).
Sites, in units of the cell vectors:
Ce 0.254 0.254 0.736  0.64
Ce 0.757 0.254 0.736  0.64
Ce 0.746 0.746 0.264  0.64
Ce 0.243 0.746 0.264  0.64
Ce 0.746 0.243 0.264  0.64
Ce 0.242 0.242 0.274  0.53
Ce 0.758 0.758 0.726  0.53
Ce 0.254 0.757 0.736  0.64
O 0.360 0.360 0.920  -0.02
O 0.640 0.640 0.080  -0.02
O 0.000 0.000 0.000  -0.03
O 0.500 0.500 0.500  -0.02
C 0.000 0.500 0.500  -0.03
C 0.000 0.000 0.500  -0.03
C 0.500 0.000 0.500  -0.03

Total magnetization (μB/f.u.): 6.297
Theoretical density (g cm⁻³): 7.310
Symmetry: R-3m
Uncorrected energy (eV/atom): -7.84
Formation energy from raw total energies (kJ/mol of formula units): -2177

No. 2
First-principles (GGA-PBE) data for a geometry-optimized Ce8C4O3 structure, as listed in the Alexandria database.

Lattice parameters (Å, degrees): 7.202 7.188 7.188 90.34 119.82 119.82
Each line ends with the local moment (μB).
Sites, in units of the cell vectors:
Ce 0.000 0.247 0.753  0.10
Ce 0.488 0.243 0.243  0.18
Ce 0.500 0.251 0.749  0.10
Ce 0.512 0.757 0.757  0.18
Ce 0.999 0.749 0.749  0.08
Ce 0.001 0.251 0.251  0.08
Ce 0.500 0.749 0.251  0.10
Ce 0.000 0.753 0.247  0.10
O 0.500 0.500 0.000  -0.01
O 0.500 0.500 0.500  -0.01
O 0.500 0.000 0.500  -0.01
C 0.500 0.000 0.000  -0.01
C 0.000 0.000 0.500  -0.01
C 0.000 0.500 0.000  -0.01
C 0.000 0.000 0.000  0.00

Total magnetization (μB/f.u.): 1.223
Theoretical density (g cm⁻³): 7.661
Symmetry: C2/m
Uncorrected energy (eV/atom): -7.88
Formation energy from raw total energies (kJ/mol of formula units): -1835

No. 3
First-principles (GGA-PBE) data for a geometry-optimized Ce4CO4 structure, as listed in the Alexandria database.

Lattice parameters (Å, degrees): 5.617 5.617 6.711 114.74 114.74 90.00
Each line ends with the local moment (μB).
Sites, in units of the cell vectors:
Ce 0.649 0.649 0.759  0.70
Ce 0.889 0.351 0.241  0.70
Ce 0.351 0.889 0.241  0.70
Ce 0.111 0.111 0.759  0.70
O 0.734 0.734 0.469  -0.03
O 0.500 0.000 0.000  -0.02
O 0.266 0.266 0.531  -0.03
O 0.000 0.500 0.000  -0.02
C 0.000 0.000 0.000  -0.05

Total magnetization (μB/f.u.): 3.924
Theoretical density (g cm⁻³): 6.193
Symmetry: I-42m
Uncorrected energy (eV/atom): -8.19
Formation energy from raw total energies (kJ/mol of formula units): -2020

No. 4
First-principles (GGA-PBE) data for a geometry-optimized Ce6CO5 structure, as listed in the Alexandria database.

Lattice parameters (Å, degrees): 6.146 6.146 6.146 99.60 99.60 120.02
Sites, in units of the cell vectors:
O 0.333 0.667 0.000
O 0.161 0.839 0.500
O 0.839 0.161 0.500
O 0.667 0.333 0.000
O 0.500 0.500 0.500
C 0.000 0.000 0.000
Ce 0.251 0.251 0.751
Ce 0.583 0.917 0.749
Ce 0.917 0.583 0.749
Ce 0.083 0.417 0.251
Ce 0.749 0.749 0.249
Ce 0.417 0.083 0.251

Total magnetization (μB/f.u.): 0.000
Theoretical density (g cm⁻³): 8.174
Symmetry: C2/m
Uncorrected energy (eV/atom): -8.28
Formation energy from raw total energies (kJ/mol of formula units): -2871